1.
# PBE La2Mg2InRh5, relaxed
data_La2Mg2InRh5
_cell_length_a 10.128
_cell_length_b 10.128
_cell_length_c 3.680
_cell_angle_alpha 90.00
_cell_angle_beta 90.00
_cell_angle_gamma 90.00
_space_group_name_H-M_alt 'P 4/m b m'
_space_group_IT_number 127
_space_group_name_Hall '-P 4 2ab'
loop_
_atom_site_label
_atom_site_type_symbol
_atom_site_fract_x
_atom_site_fract_y
_atom_site_fract_z
La1 La 0.177 0.323 0.000
Mg1 Mg 0.122 0.622 0.000
In1 In 0.000 0.000 0.000
Rh1 Rh 0.000 0.500 0.500
Rh2 Rh 0.063 0.797 0.500
# formation energy = -0.46 eV per atom
# D(E_F) = 5.05 states/eV/f.u.
# uncorrected energy = -5.7144 eV/atom

2.
# PBE LaMgIn2Ru, relaxed
data_LaMgIn2Ru
_cell_length_a 5.131
_cell_length_b 5.131
_cell_length_c 4.942
_cell_angle_alpha 90.00
_cell_angle_beta 90.00
_cell_angle_gamma 90.00
_space_group_name_H-M_alt 'P 4/m m m'
_space_group_IT_number 123
_space_group_name_Hall '-P 4 2'
loop_
_atom_site_label
_atom_site_type_symbol
_atom_site_fract_x
_atom_site_fract_y
_atom_site_fract_z
La1 La 0.000 0.000 0.000
Mg1 Mg 0.500 0.500 0.000
In1 In 0.000 0.500 0.500
Ru1 Ru 0.500 0.500 0.500
# formation energy = -0.18 eV per atom
# D(E_F) = 3.77 states/eV/f.u.
# uncorrected energy = -4.4347 eV/atom

3.
# PBE LaMg2InRu, relaxed
data_LaMg2InRu
_cell_length_a 4.973
_cell_length_b 4.973
_cell_length_c 5.149
_cell_angle_alpha 90.00
_cell_angle_beta 90.00
_cell_angle_gamma 90.00
_space_group_name_H-M_alt 'P 4/m m m'
_space_group_IT_number 123
_space_group_name_Hall '-P 4 2'
loop_
_atom_site_label
_atom_site_type_symbol
_atom_site_fract_x
_atom_site_fract_y
_atom_site_fract_z
La1 La 0.000 0.000 0.000
Mg1 Mg 0.000 0.500 0.500
In1 In 0.500 0.500 0.000
Ru1 Ru 0.500 0.500 0.500
# formation energy = -0.10 eV per atom
# D(E_F) = 3.79 states/eV/f.u.
# uncorrected energy = -4.1238 eV/atom

4.
# PBE La2MgInS5, relaxed
data_La2MgInS5
_cell_length_a 3.959
_cell_length_b 16.922
_cell_length_c 12.218
_cell_angle_alpha 90.00
_cell_angle_beta 90.00
_cell_angle_gamma 90.00
_space_group_name_H-M_alt 'C m c 21'
_space_group_IT_number 36
loop_
_space_group_symop_operation_xyz
'x,y,z'
'-x,-y,z+1/2'
'-x,y,z'
'x,-y,z+1/2'
'x+1/2,y+1/2,z'
'-x+1/2,-y+1/2,z+1/2'
'-x+1/2,y+1/2,z'
'x+1/2,-y+1/2,z+1/2'
loop_
_atom_site_label
_atom_site_type_symbol
_atom_site_fract_x
_atom_site_fract_y
_atom_site_fract_z
La1 La 0.000 0.117 0.000
La2 La 0.000 0.140 0.631
Mg1 Mg 0.000 0.211 0.339
In1 In 0.000 0.456 0.775
S1 S 0.000 0.052 0.396
S2 S 0.000 0.286 0.982
S3 S 0.000 0.313 0.690
S4 S 0.000 0.361 0.319
S5 S 0.000 0.492 0.088
# raw formation energy = -13.70 eV per formula unit
# D(E_F) = 2.42 states/eV/f.u.
# uncorrected energy = -5.3919 eV/atom